[1]
A plane-wave DFT calculation with PBE-GGA was carried out for a relaxed Ac2ZnGe3Rh4 crystal.

Unit cell a=4.323 b=4.323 c=10.531 alpha=90.00 beta=90.00 gamma=90.00
Element x y z (fractional)
Ac 0.500 0.000 0.253
Ac 0.000 0.500 0.747
Zn 0.500 0.500 0.500
Ge 0.000 0.000 0.500
Ge 0.500 0.000 0.875
Ge 0.000 0.500 0.125
Rh 0.500 0.500 0.000
Rh 0.000 0.000 0.000
Rh 0.500 0.000 0.633
Rh 0.000 0.500 0.367

Results
**E_tot**: -60.74 eV/cell

[2]
A plane-wave DFT calculation with PBE-GGA was carried out for a relaxed Ac2ZnGe4Rh3 crystal.

Unit cell a=4.417 b=4.417 c=10.301 alpha=90.00 beta=90.00 gamma=90.00
Element x y z (fractional)
Ac 0.500 0.000 0.246
Ac 0.000 0.500 0.754
Zn 0.500 0.500 0.500
Ge 0.500 0.500 0.000
Ge 0.000 0.000 0.000
Ge 0.500 0.000 0.634
Ge 0.000 0.500 0.366
Rh 0.000 0.000 0.500
Rh 0.500 0.000 0.879
Rh 0.000 0.500 0.121

Results
**E_tot**: -57.34 eV/cell

[3]
A plane-wave DFT calculation with PBE-GGA was carried out for a relaxed Ac2Zn4Ge3Rh crystal.

Unit cell a=4.470 b=4.470 c=10.391 alpha=90.00 beta=90.00 gamma=90.00
Element x y z (fractional)
Ac 0.500 0.000 0.262
Ac 0.000 0.500 0.738
Zn 0.500 0.500 0.000
Zn 0.000 0.000 0.000
Zn 0.500 0.000 0.620
Zn 0.000 0.500 0.380
Ge 0.000 0.000 0.500
Ge 0.500 0.000 0.864
Ge 0.000 0.500 0.136
Rh 0.500 0.500 0.500

Results
**E_tot**: -39.25 eV/cell

[4]
A plane-wave DFT calculation with PBE-GGA was carried out for a relaxed AcZn2GeRh crystal.

Unit cell a=4.587 b=4.429 c=5.956 alpha=111.83 beta=112.65 gamma=90.00
Element x y z (fractional)
Ac 0.436 0.436 0.873
Zn 0.684 0.184 0.368
Zn 0.072 0.072 0.144
Ge 0.812 0.812 0.624
Rh 0.208 0.708 0.415

Results
**E_tot**: -21.08 eV/cell

Question: Among the records above, which one has the lowest E_tot?
Answer: Ac2ZnGe3Rh4